{"formula": "NaSrNdFeO6", "functional": "GGA+U", "state": "relaxed", "volume_a3_per_cell": 142, "energy_ev_per_cell": -61.2, "sg": "No. 216", "lattice": [[-5.6957, -1.3415, 0.3105], [-3.8951, 3.0022, -3.1863], [-2.6592, -2.5610, -4.5505]], "species": ["O", "Sr", "O", "O", "Fe", "Nd", "O", "O", "O", "Na"], "fractional_positions": [[0.7753, 0.7753, 0.2247], [0.7500, 0.7500, 0.7500], [0.7753, 0.2247, 0.7753], [0.7753, 0.2247, 0.2247], [0.0000, 0.0000, 0.0000], [0.5000, 0.5000, 0.5000], [0.2247, 0.2247, 0.7753], [0.2247, 0.7753, 0.7753], [0.2247, 0.7753, 0.2247], [0.2500, 0.2500, 0.2500]]}